(1)
Density functional theory data (PBE) for crystalline V4Os2Pd at its relaxed geometry.

The total magnetization is 0.409 μB/atom. For the energy relative to the elements, the calculation gives 1.0856 eV/atom.

It has space group I4/mmm (No. 139), with a = 4.524 Å, b = 4.524 Å, c = 12.354 Å, α = 90.00°, β = 90.00° and γ = 90.00°. The distinct sites, in fractional coordinates, are V at (0.000, 0.000, 0.202), V at (0.000, 0.500, 0.000), Os at (0.000, 0.000, 0.389) and Pd at (0.000, 0.000, 0.000).

---

(2)
Density functional theory data (PBE) for crystalline VOsPd at its relaxed geometry.

The total magnetization is 0.000 μB/atom. For the energy relative to the elements, the calculation gives -0.0163 eV/atom.

It has space group P3m1 (No. 156), with a = 4.3562 Å, b = 4.3562 Å, c = 2.6155 Å, α = 90.00°, β = 90.00° and γ = 120.00°. The distinct sites, in fractional coordinates, are V at (0.0000, 0.0000, 0.0000), Os at (0.3333, 0.6667, 0.3472) and Pd at (0.6667, 0.3333, 0.8332).

---

(3)
Density functional theory data (PBE) for crystalline V2OsPd at its relaxed geometry.

The total magnetization is 0.000 μB/atom. For the energy relative to the elements, the calculation gives 0.3806 eV/atom.

It has space group I-42d (No. 122), with a = 6.793 Å, b = 6.793 Å, c = 5.363 Å, α = 90.00°, β = 90.00° and γ = 90.00°. The distinct sites, in fractional coordinates, are V at (0.234, 0.250, 0.125), Os at (0.000, 0.000, 0.000) and Pd at (0.000, 0.000, 0.500).

---

(4)
Density functional theory data (PBE) for crystalline VOsPd at its relaxed geometry.

The total magnetization is 0.000 μB/atom. For the energy relative to the elements, the calculation gives -0.1537 eV/atom.

It has space group P4/nmm (No. 129, origin choice 2), with a = 2.718 Å, b = 2.718 Å, c = 11.683 Å, α = 90.00°, β = 90.00° and γ = 90.00°. The distinct sites, in fractional coordinates, are V at (0.250, 0.250, 0.248), Os at (0.250, 0.250, 0.921) and Pd at (0.250, 0.250, 0.593).

---

Question: Which formula does entry 2 have?
Answer: VOsPd

---

Question: Which value of energy relative to the elements does entry 1 give?
Answer: 1.0856 eV/atom

---

Question: The highest energy relative to the elements belongs to which entry?
Answer: V4Os2Pd

---

Question: Which formula does entry 1 have?
Answer: V4Os2Pd